No. 1
Entry from Alexandria: an optimized crystal structure of Sc2Hg2Pd5 (GGA-PBE).

Output
**Crystal system**: orthorhombic
**Energy of formation**: -0.410 eV per atom

Cell: 6.9947 7.0401 8.5517 Å, 114.31 114.14 90.00°
Fractional coordinates of all 18 atoms:
Sc  0.0979  0.7629  0.2601
Sc  0.9021  0.5028  0.7399
Sc  0.6622  0.2629  0.2601
Sc  0.3378  0.0028  0.7399
Hg  0.0000  0.9849  0.0000
Hg  0.5000  0.4849  0.0000
Hg  0.2793  0.2469  0.5000
Hg  0.7207  0.7469  0.5000
Pd  0.2784  0.7678  0.8987
Pd  0.7216  0.8691  0.1013
Pd  0.1202  0.2678  0.8987
Pd  0.8798  0.3691  0.1013
Pd  0.4629  0.9550  0.2925
Pd  0.5371  0.6625  0.7075
Pd  0.3296  0.4550  0.2925
Pd  0.6704  0.1625  0.7075
Pd  0.0795  0.5839  0.5000
Pd  0.9205  0.0839  0.5000

No. 2
Entry from Alexandria: an optimized crystal structure of NaCd2Ge (GGA-PBE).

Output
**Crystal system**: orthorhombic
**Energy of formation**: -0.058 eV per atom

Cell: 5.8304 7.6216 17.0725 Å, 90.00 90.00 90.00°
Fractional coordinates of all 32 atoms:
Na  0.4709  0.2500  0.1406
Na  0.9709  0.7500  0.3594
Na  0.5291  0.7500  0.8594
Na  0.0291  0.2500  0.6406
Na  0.7413  0.2500  0.3946
Na  0.2413  0.7500  0.1054
Na  0.2587  0.7500  0.6054
Na  0.7587  0.2500  0.8946
Cd  0.9744  0.0494  0.2158
Cd  0.4744  0.9506  0.2842
Cd  0.0256  0.5494  0.7842
Cd  0.5256  0.4506  0.7158
Cd  0.0256  0.9506  0.7842
Cd  0.5256  0.0494  0.7158
Cd  0.9744  0.4506  0.2158
Cd  0.4744  0.5494  0.2842
Cd  0.7264  0.5492  0.0269
Cd  0.2264  0.4508  0.4731
Cd  0.2736  0.0492  0.9731
Cd  0.7736  0.9508  0.5269
Cd  0.2736  0.4508  0.9731
Cd  0.7736  0.5492  0.5269
Cd  0.7264  0.9508  0.0269
Cd  0.2264  0.0492  0.4731
Ge  0.2321  0.2500  0.3249
Ge  0.7321  0.7500  0.1751
Ge  0.7679  0.7500  0.6751
Ge  0.2679  0.2500  0.8249
Ge  0.9740  0.2500  0.0729
Ge  0.4740  0.7500  0.4271
Ge  0.0260  0.7500  0.9271
Ge  0.5260  0.2500  0.5729

No. 3
Entry from Alexandria: an optimized crystal structure of Na3SrPCO7 (GGA-PBE).

Output
**Formation energy without anion corrections**: -2.210 eV per atom
**Crystal system**: monoclinic

Cell: 7.2800 5.2451 9.4710 Å, 90.01 90.00 90.00°
Fractional coordinates of all 26 atoms:
Na  0.7500  0.2384  0.9169
Na  0.9938  0.7607  0.7551
Na  0.5062  0.7607  0.7551
Na  0.4938  0.2393  0.2449
Na  0.0062  0.2393  0.2449
Na  0.2500  0.7616  0.0831
Sr  0.2500  0.2384  0.6186
Sr  0.7500  0.7616  0.3814
P  0.7500  0.2967  0.6045
P  0.2500  0.7033  0.3955
C  0.2500  0.2624  0.9380
C  0.7500  0.7376  0.0620
O  0.7500  0.7204  0.9252
O  0.2500  0.0387  0.8777
O  0.2500  0.4698  0.8616
O  0.9223  0.1849  0.6792
O  0.5777  0.1849  0.6792
O  0.7500  0.5923  0.6210
O  0.2500  0.7610  0.5587
O  0.7500  0.2390  0.4413
O  0.2500  0.4077  0.3790
O  0.4223  0.8151  0.3208
O  0.0777  0.8151  0.3208
O  0.7500  0.5302  0.1384
O  0.7500  0.9613  0.1223
O  0.2500  0.2796  0.0748

No. 4
Entry from Alexandria: an optimized crystal structure of Cs2In3Cl5 (GGA-PBE).

Output
**Formation energy without anion corrections**: -1.254 eV per atom
**Crystal system**: monoclinic

Cell: 4.6841 8.6854 10.1254 Å, 79.28 76.63 74.36°
Fractional coordinates of all 10 atoms:
Cs  0.3291  0.0762  0.2656
Cs  0.6709  0.9238  0.7344
In  0.5000  0.5000  0.5000
In  0.1120  0.6468  0.1293
In  0.8880  0.3532  0.8707
Cl  0.0000  0.0000  0.0000
Cl  0.0909  0.2280  0.5901
Cl  0.9091  0.7720  0.4099
Cl  0.6994  0.4012  0.1999
Cl  0.3006  0.5988  0.8001

No. 5
Entry from Alexandria: an optimized crystal structure of Fe2Sb3 (GGA-PBE).

Output
**Formation energy without anion corrections**: 0.265 eV per atom
**Crystal system**: orthorhombic

Cell: 8.2790 7.5406 5.7523 Å, 75.71 61.96 42.32°
Fractional coordinates of all 10 atoms:
Fe  0.6105  0.1717  0.9792
Fe  0.2386  0.9792  0.1717
Fe  0.2708  0.0114  0.6395
Fe  0.0783  0.6395  0.0114
Sb  0.6526  0.7865  0.1706
Sb  0.3903  0.1706  0.7865
Sb  0.0794  0.8597  0.5974
Sb  0.4635  0.5974  0.8597
Sb  0.1080  0.3920  0.3920
Sb  0.8580  0.1420  0.1420

No. 6
Entry from Alexandria: an optimized crystal structure of Na2PrPuSe4 (GGA-PBE).

Output
**Formation energy without anion corrections**: -1.529 eV per atom
**Crystal system**: monoclinic

Cell: 4.2733 7.4001 7.4039 Å, 109.63 90.00 90.00°
Fractional coordinates of all 8 atoms:
Na  0.5000  0.0000  0.5000
Na  0.0000  0.5000  0.5000
Pr  0.5000  0.5000  0.0000
Pu  0.0000  0.0000  0.0000
Se  0.5000  0.2373  0.2311
Se  0.5000  0.7627  0.7689
Se  0.0000  0.2491  0.7625
Se  0.0000  0.7509  0.2375

no.,M_tot (μB/f.u.)
1,0.000
2,0.000
3,0.000
4,0.000
5,0.001
6,5.000